This record from the Alexandria database describes a relaxed structure of LiDyCu2. The functional is PBE.

The space group is P4/mmm (No. 123) and the conventional cell measures 4.650, 4.650 and 3.331 Å, with angles of 90.00, 90.00 and 90.00 degrees. The inequivalent atoms are Li at (0.000, 0.000, 0.000), Dy at (0.500, 0.500, 0.000) and Cu at (0.000, 0.500, 0.500).

For the energy relative to the elements, the calculation gives -0.028 eV/atom. Its final energy is -3.705 eV per atom. The calculation puts the distance to the lowest polymorph of the same formula at 98 meV per atom. For the total magnetic moment, the calculation gives 0.000 μB/f.u.